# 1
A plane-wave DFT calculation with PBE was carried out for an optimized crystal structure of BAu3Se.

Lattice parameters (Å, degrees): 5.025 5.025 5.025 90.00 90.00 90.00
Atoms (fractional coordinates):
B 0.500 0.500 0.500
Au 0.000 0.500 0.000
Au 0.000 0.000 0.500
Au 0.500 0.000 0.000
Se 0.000 0.000 0.000

Formation energy without anion corrections in meV/atom: 1383
Crystal system: cubic
E in eV for the cell shown: -13.08
Offset from the most stable computed form in meV/atom: 818



# 2
A plane-wave DFT calculation with PBE was carried out for an optimized crystal structure of NbAlAu.

Lattice parameters (Å, degrees): 2.862 5.365 7.378 109.29 90.00 105.47
Atoms (fractional coordinates):
Nb 0.839 0.678 0.891
Nb 0.161 0.322 0.109
Al 0.538 0.075 0.766
Al 0.462 0.925 0.234
Au 0.853 0.706 0.457
Au 0.147 0.294 0.543

Crystal system: monoclinic
E in eV for the cell shown: -35.51
E_form in eV per atom: -0.222



# 3
A plane-wave DFT calculation with PBE was carried out for an optimized crystal structure of Mg2CuSe2.

Lattice parameters (Å, degrees): 7.099 6.524 4.638 76.94 63.54 39.53
Atoms (fractional coordinates):
Mg 0.623 0.623 0.377
Mg 0.377 0.377 0.623
Cu 0.000 0.000 0.000
Se 0.750 0.750 0.750
Se 0.250 0.250 0.250

Formation energy without anion corrections in meV/atom: -117
Crystal system: orthorhombic
E in eV for the cell shown: -14.84
Offset from the most stable computed form in meV/atom: 579



# 4
A plane-wave DFT calculation with PBE was carried out for an optimized crystal structure of PrThSeN.

Lattice parameters (Å, degrees): 3.851 3.851 7.212 74.51 74.51 60.00
Atoms (fractional coordinates):
Pr 0.735 0.735 0.795
Th 0.270 0.270 0.191
Se 0.503 0.503 0.490
N 0.992 0.992 0.024

Formation energy without anion corrections in meV/atom: -1595
Crystal system: trigonal
E in eV for the cell shown: -30.39



# 5
A plane-wave DFT calculation with PBE was carried out for an optimized crystal structure of Zr2Al5Tc2Au.

Lattice parameters (Å, degrees): 3.384 10.175 10.175 90.00 90.00 90.00
Atoms (fractional coordinates):
Zr 0.000 0.691 0.191
Zr 0.000 0.309 0.809
Zr 0.000 0.191 0.309
Zr 0.000 0.809 0.691
Al 0.500 0.202 0.045
Al 0.500 0.798 0.955
Al 0.500 0.045 0.798
Al 0.500 0.702 0.455
Al 0.500 0.955 0.202
Al 0.500 0.298 0.545
Al 0.500 0.545 0.702
Al 0.500 0.455 0.298
Al 0.500 0.500 0.000
Al 0.500 0.000 0.500
Tc 0.000 0.125 0.625
Tc 0.000 0.875 0.375
Tc 0.000 0.625 0.875
Tc 0.000 0.375 0.125
Au 0.000 0.000 0.000
Au 0.000 0.500 0.500

Crystal system: tetragonal
E in eV for the cell shown: -124.97
E_form in eV per atom: -0.267



# 6
A plane-wave DFT calculation with PBE was carried out for an optimized crystal structure of Mg2AlHgPt.

Lattice parameters (Å, degrees): 4.982 5.255 4.982 90.00 90.00 90.00
Atoms (fractional coordinates):
Mg 0.000 0.000 0.500
Mg 0.500 0.000 0.000
Hg 0.000 0.500 0.000
Pt 0.000 0.000 0.000
Al 0.500 0.500 0.500

Crystal system: tetragonal
E in eV for the cell shown: -13.03
E_form in eV per atom: 0.049



# 7
A plane-wave DFT calculation with PBE was carried out for an optimized crystal structure of Pm3InS6.

Lattice parameters (Å, degrees): 6.754 8.789 8.789 102.74 90.00 90.00
Atoms (fractional coordinates):
Pm 0.482 0.912 0.715
Pm 0.982 0.715 0.912
Pm 0.396 0.403 0.597
Pm 0.896 0.597 0.403
Pm 0.982 0.088 0.285
Pm 0.482 0.285 0.088
In 0.011 0.200 0.800
In 0.511 0.800 0.200
S 0.188 0.690 0.633
S 0.688 0.633 0.690
S 0.208 0.440 0.902
S 0.708 0.902 0.440
S 0.173 0.033 0.967
S 0.649 0.220 0.780
S 0.149 0.780 0.220
S 0.673 0.967 0.033
S 0.208 0.098 0.560
S 0.708 0.560 0.098
S 0.188 0.367 0.310
S 0.688 0.310 0.367

Formation energy without anion corrections in meV/atom: -1699
Crystal system: orthorhombic
E in eV for the cell shown: -117.50



# 8
A plane-wave DFT calculation with PBE was carried out for an optimized crystal structure of TiRh3I.

Lattice parameters (Å, degrees): 4.785 4.785 4.785 90.00 90.00 90.00
Atoms (fractional coordinates):
I 0.000 0.000 0.000
Rh 0.000 0.500 0.000
Rh 0.000 0.000 0.500
Rh 0.500 0.000 0.000
Ti 0.500 0.500 0.500

Formation energy without anion corrections in meV/atom: 1131
Crystal system: cubic
E in eV for the cell shown: -25.84
Offset from the most stable computed form in meV/atom: 456



> Number 2 is which compound?

NbAlAu